(1)
# Sm4Pd7Au, optimized geometry, DFT PBE
data_Sm4Pd7Au
_chemical_formula_sum 'Sm4 Pd7 Au1'
_cell_length_a 5.637
_cell_length_b 5.681
_cell_length_c 8.266
_cell_angle_alpha 87.09
_cell_angle_beta 75.70
_cell_angle_gamma 76.31
_space_group_name_H-M_alt 'P -1'
_space_group_IT_number 2
loop_
_space_group_symop_operation_xyz
'x,y,z'
'-x,-y,-z'
loop_
_atom_site_label
_atom_site_fract_x
_atom_site_fract_y
_atom_site_fract_z
Sm1 0.047 0.346 0.206
Sm2 0.386 0.748 0.355
Pd1 0.031 0.838 0.124
Pd2 0.160 0.249 0.541
Pd3 0.408 0.810 0.723
Pd4 0.500 0.500 0.000
Au1 0.500 0.000 0.000
# - DOS(E_F): 6.520 states/eV/f.u.
# - ΔH_f (0 K): -760 meV per atom
# - Final energy: -5.636 eV per atom

(2)
# SmPd4Au8, optimized geometry, DFT PBE
data_SmPd4Au8
_chemical_formula_sum 'Sm2 Pd8 Au16'
_cell_length_a 9.295
_cell_length_b 9.295
_cell_length_c 5.622
_cell_angle_alpha 90.00
_cell_angle_beta 90.00
_cell_angle_gamma 90.00
_space_group_name_H-M_alt 'I 4/m m m'
_space_group_IT_number 139
_space_group_name_Hall '-I 4 2'
loop_
_atom_site_label
_atom_site_fract_x
_atom_site_fract_y
_atom_site_fract_z
Sm1 0.000 0.000 0.000
Pd1 0.250 0.250 0.250
Au1 0.000 0.217 0.500
Au2 0.000 0.337 0.000
# - DOS(E_F): 4.676 states/eV/f.u.
# - ΔH_f (0 K): -278 meV per atom
# - Final energy: -4.256 eV per atom

(3)
# SmPdAu4, optimized geometry, DFT PBE
data_SmPdAu4
_chemical_formula_sum 'Sm4 Pd4 Au16'
_cell_length_a 5.675
_cell_length_b 16.872
_cell_length_c 4.883
_cell_angle_alpha 90.00
_cell_angle_beta 90.14
_cell_angle_gamma 90.00
_space_group_name_H-M_alt 'C 1 2/c 1'
_space_group_IT_number 15
loop_
_space_group_symop_operation_xyz
'x,y,z'
'-x,-y,-z'
'-x,y,-z+1/2'
'x,-y,z+1/2'
'x+1/2,y+1/2,z'
'-x+1/2,-y+1/2,-z'
'-x+1/2,y+1/2,-z+1/2'
'x+1/2,-y+1/2,z+1/2'
loop_
_atom_site_label
_atom_site_fract_x
_atom_site_fract_y
_atom_site_fract_z
Sm1 0.000 0.122 0.250
Pd1 0.000 0.370 0.750
Au1 0.241 0.458 0.249
Au2 0.247 0.292 0.250
# - DOS(E_F): 1.642 states/eV/f.u.
# - ΔH_f (0 K): -492 meV per atom
# - Final energy: -4.329 eV per atom

(4)
# Sm3Pd3Au2, optimized geometry, DFT PBE
data_Sm3Pd3Au2
_chemical_formula_sum 'Sm12 Pd12 Au8'
_cell_length_a 4.083
_cell_length_b 10.776
_cell_length_c 16.401
_cell_angle_alpha 90.00
_cell_angle_beta 90.00
_cell_angle_gamma 90.00
_space_group_name_H-M_alt 'C m c m'
_space_group_IT_number 63
_space_group_name_Hall '-C 2c 2'
loop_
_atom_site_label
_atom_site_fract_x
_atom_site_fract_y
_atom_site_fract_z
Sm1 0.000 0.059 0.104
Sm2 0.000 0.331 0.250
Pd1 0.000 0.379 0.029
Pd2 0.000 0.400 0.750
Au1 0.000 0.228 0.617
# - DOS(E_F): 4.777 states/eV/f.u.
# - ΔH_f (0 K): -791 meV per atom
# - Final energy: -5.328 eV per atom

(5)
# Sm2Pd2Au3, optimized geometry, DFT PBE
data_Sm2Pd2Au3
_chemical_formula_sum 'Sm4 Pd4 Au6'
_cell_length_a 9.808
_cell_length_b 4.194
_cell_length_c 8.404
_cell_angle_alpha 90.00
_cell_angle_beta 116.11
_cell_angle_gamma 90.00
_space_group_name_H-M_alt 'C 1 2/m 1'
_space_group_IT_number 12
loop_
_space_group_symop_operation_xyz
'x,y,z'
'-x,-y,-z'
'-x,y,-z'
'x,-y,z'
'x+1/2,y+1/2,z'
'-x+1/2,-y+1/2,-z'
'-x+1/2,y+1/2,-z'
'x+1/2,-y+1/2,z'
loop_
_atom_site_label
_atom_site_fract_x
_atom_site_fract_y
_atom_site_fract_z
Sm1 0.204 0.000 0.266
Pd1 0.158 0.000 0.892
Au1 0.000 0.500 0.000
Au2 0.036 0.500 0.359
# - DOS(E_F): 3.734 states/eV/f.u.
# - ΔH_f (0 K): -640 meV per atom
# - Final energy: -4.877 eV per atom

(6)
# SmPdAu4, optimized geometry, DFT PBE
data_SmPdAu4
_chemical_formula_sum 'Sm4 Pd4 Au16'
_cell_length_a 7.807
_cell_length_b 7.807
_cell_length_c 7.807
_cell_angle_alpha 90.00
_cell_angle_beta 90.00
_cell_angle_gamma 90.00
_space_group_name_H-M_alt 'F -4 3 m'
_space_group_IT_number 216
_space_group_name_Hall 'F -4 2 3'
loop_
_atom_site_label
_atom_site_fract_x
_atom_site_fract_y
_atom_site_fract_z
Sm1 0.000 0.000 0.000
Pd1 0.250 0.250 0.750
Au1 0.125 0.125 0.375
# - DOS(E_F): 3.573 states/eV/f.u.
# - ΔH_f (0 K): -463 meV per atom
# - Final energy: -4.300 eV per atom

What is the formula in the third record? SmPdAu4